1.
Density functional theory data (PBE) for a relaxed YMg2Pb crystal.

Lattice parameters (Å, degrees): 4.566 4.566 4.810 90.00 90.00 90.00
Atoms (fractional coordinates):
Pb 0.500 0.000 0.500
Y 0.000 0.500 0.500
Mg 0.000 0.000 0.000
Mg 0.500 0.500 0.000

Calculated values
Energy relative to the elements = -0.320 eV/atom



2.
Density functional theory data (PBE) for a relaxed NaTmTlHg crystal.

Lattice parameters (Å, degrees): 3.724 3.724 7.526 90.00 90.00 90.00
Atoms (fractional coordinates):
Na 0.000 0.000 0.850
Tm 0.000 0.000 0.371
Tl 0.500 0.500 0.111
Hg 0.500 0.500 0.596

Calculated values
Energy relative to the elements = -0.261 eV/atom



3.
Density functional theory data (PBE) for a relaxed ZnGaSi2 crystal.

Lattice parameters (Å, degrees): 5.920 5.920 6.518 62.99 62.99 90.00
Atoms (fractional coordinates):
Zn 0.500 0.500 0.000
Zn 0.250 0.750 0.500
Si 0.625 0.125 0.250
Si 0.125 0.625 0.250
Si 0.375 0.375 0.750
Si 0.875 0.875 0.750
Ga 0.000 0.000 0.000
Ga 0.750 0.250 0.500

Calculated values
Formation energy from raw total energies = 1.9 eV/f.u.



4.
Density functional theory data (PBE) for a relaxed ScAsSe2O crystal.

Lattice parameters (Å, degrees): 4.537 4.537 4.329 90.00 90.00 90.00
Atoms (fractional coordinates):
Sc 0.500 0.500 0.500
As 0.000 0.000 0.500
O 0.000 0.000 0.000
Se 0.000 0.500 0.000
Se 0.500 0.000 0.000

Calculated values
Formation energy from raw total energies = -1.5 eV/f.u.



5.
Density functional theory data (PBE) for a relaxed CaReNi2 crystal.

Lattice parameters (Å, degrees): 5.126 5.126 5.126 137.15 137.15 62.21
Atoms (fractional coordinates):
Re 0.500 0.500 0.000
Ca 0.750 0.250 0.500
Ni 0.000 0.000 0.000
Ni 0.250 0.750 0.500

Calculated values
Energy relative to the elements = 0.634 eV/atom



6.
Density functional theory data (PBE) for a relaxed Ac3Al2PdO9 crystal.

Lattice parameters (Å, degrees): 5.585 5.585 6.876 90.00 90.00 120.00
Atoms (fractional coordinates):
Ac 0.333 0.667 0.660
Ac 0.000 0.000 0.000
Ac 0.667 0.333 0.340
Al 0.333 0.667 0.152
Al 0.667 0.333 0.848
Pd 0.000 0.000 0.500
O 0.825 0.175 0.677
O 0.825 0.649 0.677
O 0.351 0.175 0.677
O 0.649 0.825 0.323
O 0.175 0.351 0.323
O 0.175 0.825 0.323
O 0.500 0.000 0.000
O 0.000 0.500 0.000
O 0.500 0.500 0.000

Calculated values
Formation energy from raw total energies = -41.2 eV/f.u.



The total magnetic moment results, record by record, are as follows: 0.0 0.0 0.0 0.0 2.2 0.1 μB/f.u..